The following is a GGA-PBEsol calculation of a geometry-optimized MgTcPb2 structure, from Alexandria via LeMat-Bulk.

The structure in POSCAR format:
```
MgTcPb2
1.0
9.286 0.000 0.000
0.000 3.412 0.000
-1.177 0.000 5.367
Mg Tc Pb
2 2 4
direct
0.000 0.000 0.000
0.500 0.500 0.000
0.000 0.500 0.500
0.500 0.000 0.500
0.238 0.000 0.729
0.262 0.500 0.271
0.738 0.500 0.729
0.762 0.000 0.271
```

Properties
* DOS at the Fermi energy: 7.431 states/eV per cell
* formation enthalpy at 0 K: 453 meV/atom
* space-group type: C2/m, No. 12
* total magnetic moment: 1.16 μB/cell
* DFT total energy: -19.17 eV per formula unit